# AcCoI2O8 | the Alexandria database | PBE with a Hubbard U | relaxed
data_AcCoI2O8
_chemical_formula_sum 'Ac3 Co3 I6 O24'
_cell_length_a 5.2559
_cell_length_b 5.2559
_cell_length_c 19.8462
_cell_angle_alpha 90.00
_cell_angle_beta 90.00
_cell_angle_gamma 120.00
_symmetry_space_group_name_H-M 'R -3'
_symmetry_Int_Tables_number 148
_symmetry_space_group_name_Hall '-R 3'
loop_
_atom_site_label
_atom_site_fract_x
_atom_site_fract_y
_atom_site_fract_z
_atom_site_occupancy
Ac1 0.0000 0.0000 0.0000 1
Co1 0.0000 0.0000 0.5000 1
I1 0.0000 0.0000 0.2168 1
O1 0.0000 0.0000 0.3099 1
O2 0.0143 0.3935 0.2246 1
# Total energy ... -5.321 eV per atom
# Mass density ... 7006 kg/m3